Below is a relaxed HfAlSi crystal, with properties calculated at the PBE level.

Properties
magnetization	0.000	μB per formula unit
raw formation energy	-1.372	eV/f.u.
space-group type	No. 129
DOS at the Fermi energy	1.350	states/eV/f.u.

Unit cell a=3.787 b=3.787 c=7.090 alpha=90.00 beta=90.00 gamma=90.00
Element x y z (fractional)
Al 0.500 0.500 0.500
Al 0.000 0.000 0.500
Si 0.000 0.500 0.215
Si 0.500 0.000 0.785
Hf 0.000 0.500 0.836
Hf 0.500 0.000 0.164